CaTaTc2, relaxed, DFT PBE-GGA; uncorrected energy = -8.330 eV/atom; E above lowest polymorph = 136 meV per atom
1.0
2.9289 0.0000 0.0000
0.0000 4.2656 0.0000
-0.8827 0.0000 6.1264
Ca Ta Tc
1 1 2
Cartesian
0.0000 0.0000 0.0000
1.0231 0.0000 3.0632
0.1620 2.1328 4.2395
1.8843 2.1328 1.8869

=====

TiCl, relaxed, DFT PBE-GGA; uncorrected energy = -5.483 eV/atom; E_form (uncorrected) = -613 meV per atom
1.0
0.0000 4.3441 4.8061
3.6529 0.0000 4.8061
3.6529 4.3441 0.0000
Ti Cl
4 4
Cartesian
2.7397 3.2581 0.1007
4.5661 5.4301 2.5037
2.7397 3.2581 7.1084
4.5661 5.4301 9.5114
4.2845 3.2581 3.6045
6.1109 5.4301 6.0076
1.1949 3.2581 3.6045
3.0213 5.4301 6.0076

=====

La2Pr3Tm4, relaxed, DFT PBE-GGA; uncorrected energy = -4.649 eV/atom; E above lowest polymorph = 0 meV per atom
1.0
6.2455 0.0000 0.0000
1.0618 6.2078 0.0000
2.0705 0.6915 7.7943
La Pr Tm
2 3 4
Cartesian
2.0940 2.2955 2.5883
7.2838 4.6038 5.2060
2.0956 1.2272 6.0573
3.1227 0.0000 0.0000
7.2822 5.6721 1.7370
4.1581 4.0382 6.9193
4.1917 5.1047 3.4845
5.1861 1.7946 4.3098
5.2197 2.8611 0.8750

=====

AlTlS6, relaxed, DFT PBE-GGA; uncorrected energy = -4.096 eV/atom; E_form (uncorrected) = -237 meV per atom
1.0
3.7509 0.0000 0.0000
0.2380 6.8346 0.0000
1.1039 3.1413 7.3430
Al Tl S
1 1 6
Cartesian
0.0000 0.0000 0.0000
2.5464 4.9880 3.6715
0.6628 7.2212 2.2869
1.2865 2.2165 1.6991
3.0064 4.7812 7.1376
2.0864 5.1948 0.2055
3.8063 7.7594 5.6439
4.4300 2.7547 5.0561

=====

Ac2NF, relaxed, DFT PBE-GGA; uncorrected energy = -6.436 eV/atom; E above lowest polymorph = 0 meV per atom; E_form (uncorrected) = -1832 meV per atom
1.0
3.8768 0.0000 0.0000
-1.9384 3.3574 0.0000
0.0000 0.0000 19.5357
Ac N F
6 3 3
Cartesian
0.0000 0.0000 4.7017
0.0000 0.0000 14.8341
0.0000 2.2383 8.3222
0.0000 2.2383 17.7255
1.9384 1.1191 1.8102
1.9384 1.1191 11.2136
0.0000 0.0000 9.7679
0.0000 2.2383 3.2560
1.9384 1.1191 16.2798
0.0000 0.0000 0.0000
0.0000 2.2383 13.0238
1.9384 1.1191 6.5119

=====

NaLi2Hg6, relaxed, DFT PBE-GGA; uncorrected energy = -0.938 eV/atom; E above lowest polymorph = 43 meV per atom
1.0
7.1305 -3.1057 0.0000
7.1305 3.1057 0.0000
-0.3561 0.0000 5.2659
Na Li Hg
1 2 6
Cartesian
0.0000 0.0000 0.0000
4.9835 0.0000 1.1442
8.9213 0.0000 4.1217
4.1755 1.5304 3.9700
6.9524 1.5308 2.6329
9.7294 1.5304 1.2959
4.1755 -1.5304 3.9700
6.9524 -1.5308 2.6329
9.7294 -1.5304 1.2959

=====

YRe2As, relaxed, DFT PBE-GGA; uncorrected energy = -8.769 eV/atom
1.0
3.3449 0.0000 0.0000
0.0000 4.2546 0.0000
0.0000 0.0000 10.1696
Y Re As
2 4 2
Cartesian
0.0000 0.0000 0.0000
1.6724 2.1273 5.0848
0.0000 2.1273 2.5050
0.0000 2.1273 7.6647
1.6724 0.0000 2.5798
1.6724 0.0000 7.5898
0.0000 0.0000 5.0848
1.6724 2.1273 0.0000

=====

GaSn, relaxed, DFT PBE-GGA; uncorrected energy = -3.341 eV/atom
1.0
4.5446 0.0000 0.0000
0.0000 11.4034 0.0000
0.0000 0.0000 7.4307
Ga Sn
6 6
Cartesian
1.1362 1.2160 1.4911
1.1362 4.4857 1.4911
1.1362 8.5526 2.4767
3.4085 2.8509 4.9541
3.4085 6.9177 5.9396
3.4085 10.1874 5.9396
1.1362 2.8509 3.6171
1.1362 6.9695 0.1808
1.1362 10.1356 0.1808
3.4085 1.2678 7.2500
3.4085 4.4339 7.2500
3.4085 8.5526 3.8136

=====

LiAcTmAl, relaxed, DFT PBE-GGA; uncorrected energy = -3.675 eV/atom
1.0
7.6049 0.0000 0.0000
0.0000 7.6049 0.0000
0.0000 0.0000 7.6049
Li Ac Tm Al
4 4 4 4
Cartesian
0.0000 0.0000 0.0000
0.0000 3.8024 3.8024
3.8024 0.0000 3.8024
3.8024 3.8024 0.0000
1.9012 1.9012 1.9012
1.9012 5.7036 5.7036
5.7036 1.9012 5.7036
5.7036 5.7036 1.9012
1.9012 1.9012 5.7036
1.9012 5.7036 1.9012
5.7036 1.9012 1.9012
5.7036 5.7036 5.7036
0.0000 0.0000 3.8024
0.0000 3.8024 0.0000
3.8024 0.0000 0.0000
3.8024 3.8024 3.8024

=====

Ba2VI2, relaxed, DFT PBE-GGA; uncorrected energy = -3.472 eV/atom; E_form (uncorrected) = -259 meV per atom
1.0
5.4036 0.0000 0.0000
0.0000 5.4036 0.0000
0.0000 0.0000 17.0200
Ba V I
4 2 4
Cartesian
0.0000 0.0000 2.0811
0.0000 0.0000 14.9389
2.7018 2.7018 6.4289
2.7018 2.7018 10.5912
0.0000 0.0000 8.5100
2.7018 2.7018 0.0000
0.0000 2.7018 4.2550
0.0000 2.7018 12.7650
2.7018 0.0000 4.2550
2.7018 0.0000 12.7650

=====

MgCCl2, relaxed, DFT PBE-GGA; uncorrected energy = -2.789 eV/atom; E above lowest polymorph = 328 meV per atom; E_form (uncorrected) = 839 meV per atom
1.0
6.5365 0.0000 0.0000
0.0000 6.5365 0.0000
0.0000 0.0000 6.5365
Mg C Cl
4 4 8
Cartesian
0.0000 0.0000 0.0000
0.0000 3.2682 3.2682
3.2682 0.0000 3.2682
3.2682 3.2682 0.0000
0.0000 0.0000 3.2682
0.0000 3.2682 0.0000
3.2682 0.0000 0.0000
3.2682 3.2682 3.2682
1.6341 1.6341 1.6341
1.6341 1.6341 4.9023
1.6341 4.9023 1.6341
1.6341 4.9023 4.9023
4.9023 1.6341 1.6341
4.9023 1.6341 4.9023
4.9023 4.9023 1.6341
4.9023 4.9023 4.9023

=====

Ac4PmSn15, relaxed, DFT PBE-GGA; uncorrected energy = -4.558 eV/atom
1.0
4.8726 0.0000 0.0000
0.0000 4.8726 0.0000
0.0000 0.0000 24.5909
Ac Pm Sn
4 1 15
Cartesian
0.0000 0.0000 2.4912
0.0000 0.0000 7.4935
0.0000 0.0000 17.0974
0.0000 0.0000 22.0997
0.0000 0.0000 12.2954
0.0000 2.4363 0.0000
0.0000 2.4363 4.9939
0.0000 2.4363 9.9796
0.0000 2.4363 14.6112
0.0000 2.4363 19.5970
2.4363 0.0000 0.0000
2.4363 0.0000 4.9939
2.4363 0.0000 9.9796
2.4363 0.0000 14.6112
2.4363 0.0000 19.5970
2.4363 2.4363 2.4909
2.4363 2.4363 7.4706
2.4363 2.4363 12.2954
2.4363 2.4363 17.1203
2.4363 2.4363 22.1000

=====

Total moment readings, ordered: 0.00; 0.00; 0.00; 0.00; 0.00; 0.00; 0.00; 0.00; 0.00; 5.02; 2.00; 0.00 μB/f.u.